KPa2MnO8: optimized geometry, GGA+U.

Properties
Final energy (eV/atom): -8.048
Space-group type: P-1
Crystal system: triclinic

```
12
Lattice="4.9636 0.0000 0.0000 0.2679 4.9731 0.0000 0.0114 0.0093 7.1654" Properties=species:S:1:pos:R:3 pbc="T T T"
K 0.0000 0.0000 0.0000
Pa 2.6182 2.4885 1.7972
Pa 2.6247 2.4939 5.3683
Mn 0.0057 0.0046 3.5827
O 1.2280 3.9916 4.9394
O 1.2259 3.9898 2.2257
O 1.4731 1.4164 3.5817
O 1.7194 1.6776 0.0011
O 3.5236 3.3047 7.1644
O 3.7699 3.5660 3.5837
O 4.0171 0.9926 4.9397
O 4.0149 0.9908 2.2260
```